{"formula": "Cu2Ag3", "functional": "PBE", "state": "relaxed", "formation_enthalpy_0k_mev_per_atom": 84, "space_group": "C2/m", "relative_energy_mev_per_atom": 51, "cell": [[7.460, -1.422, 0.000], [7.460, 1.422, 0.000], [-1.923, 0.000, 7.296]], "species": ["Cu", "Cu", "Cu", "Cu", "Ag", "Ag", "Ag", "Ag", "Ag", "Ag"], "fractional_positions": [[0.000, 0.000, 0.000], [0.000, 0.000, 0.500], [0.415, 0.415, 0.715], [0.585, 0.585, 0.285], [0.185, 0.185, 0.570], [0.199, 0.199, 0.122], [0.405, 0.405, 0.196], [0.595, 0.595, 0.804], [0.801, 0.801, 0.878], [0.815, 0.815, 0.430]]}


{"formula": "YSnPt2", "functional": "PBE", "state": "relaxed", "final_energy_ev_per_cell": -53.22, "space_group": "P6_3/mmc", "cell": [[4.557, 0.000, 0.000], [-2.278, 3.946, 0.000], [0.000, 0.000, 9.094]], "species": ["Y", "Y", "Sn", "Sn", "Pt", "Pt", "Pt", "Pt"], "fractional_positions": [[0.333, 0.667, 0.250], [0.667, 0.333, 0.750], [0.000, 0.000, 0.000], [0.000, 0.000, 0.500], [0.333, 0.667, 0.589], [0.333, 0.667, 0.911], [0.667, 0.333, 0.089], [0.667, 0.333, 0.411]]}


{"formula": "TbYGa2Ag2", "functional": "PBE", "state": "relaxed", "space_group": "P-6m2", "relative_energy_mev_per_atom": 0, "cell": [[4.602, 0.000, 0.000], [-2.301, 3.986, 0.000], [0.000, 0.000, 7.039]], "species": ["Tb", "Y", "Ga", "Ga", "Ag", "Ag"], "fractional_positions": [[0.000, 0.000, 0.000], [0.000, 0.000, 0.500], [0.333, 0.667, 0.216], [0.333, 0.667, 0.784], [0.667, 0.333, 0.260], [0.667, 0.333, 0.740]]}


{"formula": "KPrAgSe3", "functional": "PBE", "state": "relaxed", "final_energy_ev_per_cell": -51.58, "space_group": "Cmcm", "cell": [[2.135, -7.424, 0.000], [2.135, 7.424, 0.000], [0.000, 0.000, 11.184]], "species": ["K", "K", "Pr", "Pr", "Ag", "Ag", "Se", "Se", "Se", "Se", "Se", "Se"], "fractional_positions": [[0.250, 0.750, 0.750], [0.750, 0.250, 0.250], [0.000, 0.000, 0.000], [0.000, 0.000, 0.500], [0.467, 0.533, 0.250], [0.533, 0.467, 0.750], [0.075, 0.925, 0.250], [0.366, 0.634, 0.058], [0.366, 0.634, 0.442], [0.634, 0.366, 0.558], [0.634, 0.366, 0.942], [0.925, 0.075, 0.750]]}


{"formula": "Ac2Ta", "functional": "PBE", "state": "relaxed", "formation_enthalpy_0k_mev_per_atom": 2139, "space_group": "Fd-3m", "cell": [[0.000, 6.403, 6.403], [6.403, 0.000, 6.403], [6.403, 6.403, 0.000]], "species": ["Ac", "Ac", "Ac", "Ac", "Ta", "Ta"], "fractional_positions": [[0.000, 0.000, 0.000], [0.000, 0.000, 0.500], [0.000, 0.500, 0.000], [0.500, 0.000, 0.000], [0.125, 0.125, 0.125], [0.875, 0.875, 0.875]]}


{"formula": "LaCdInSe3", "functional": "PBE", "state": "relaxed", "space_group": "Cmcm", "relative_energy_mev_per_atom": 8, "cell": [[2.201, -7.150, 0.000], [2.201, 7.150, 0.000], [0.000, 0.000, 11.586]], "species": ["La", "La", "Cd", "Cd", "In", "In", "Se", "Se", "Se", "Se", "Se", "Se"], "fractional_positions": [[0.000, 0.000, 0.000], [0.000, 0.000, 0.500], [0.462, 0.538, 0.750], [0.538, 0.462, 0.250], [0.250, 0.750, 0.250], [0.750, 0.250, 0.750], [0.076, 0.924, 0.750], [0.363, 0.637, 0.559], [0.363, 0.637, 0.941], [0.637, 0.363, 0.059], [0.637, 0.363, 0.441], [0.924, 0.076, 0.250]]}


Please write out number 1 again, unchanged.
{"formula": "Cu2Ag3", "functional": "PBE", "state": "relaxed", "formation_enthalpy_0k_mev_per_atom": 84, "space_group": "C2/m", "relative_energy_mev_per_atom": 51, "cell": [[7.460, -1.422, 0.000], [7.460, 1.422, 0.000], [-1.923, 0.000, 7.296]], "species": ["Cu", "Cu", "Cu", "Cu", "Ag", "Ag", "Ag", "Ag", "Ag", "Ag"], "fractional_positions": [[0.000, 0.000, 0.000], [0.000, 0.000, 0.500], [0.415, 0.415, 0.715], [0.585, 0.585, 0.285], [0.185, 0.185, 0.570], [0.199, 0.199, 0.122], [0.405, 0.405, 0.196], [0.595, 0.595, 0.804], [0.801, 0.801, 0.878], [0.815, 0.815, 0.430]]}